[1]
HfSb2IF: optimized geometry, PBE.

- Raw formation energy: -98 meV/atom
- Final energy: -0.1625 hartree per atom
- DOS(E_F): 0.959 states/eV/atom

abc: 5.5129 5.5129 5.5331
angles: 90.00 90.00 90.00
Atoms (fractional coordinates):
I1 0.0000 0.0000 0.5000
Sb1 0.0000 0.5000 0.0000
Sb2 0.5000 0.0000 0.0000
Hf1 0.0000 0.0000 0.0000
F1 0.5000 0.5000 0.5000



[2]
Th4HgGeAs2: optimized geometry, PBE.

- Final energy: -0.2340 hartree per atom
- DOS(E_F): 0.635 states/eV/atom
- Formation energy from the elements: -0.88 eV/atom

abc: 4.2745 7.4899 7.5239
angles: 70.89 90.00 90.00
Atoms (fractional coordinates):
Th1 0.0000 0.7592 0.7392
Th2 0.0000 0.2408 0.2608
Th3 0.5000 0.7535 0.2564
Th4 0.5000 0.2465 0.7436
Hg1 0.5000 0.5000 0.0000
Ge1 0.0000 0.5000 0.5000
As1 0.0000 0.0000 0.0000
As2 0.5000 0.0000 0.5000



[3]
TbCePm2Se4: optimized geometry, PBE.

- Raw formation energy: -1820 meV/atom
- Final energy: -0.2231 hartree per atom
- DOS(E_F): 1.099 states/eV/atom

abc: 4.1458 7.2554 7.2269
angles: 109.12 90.00 90.00
Last column: magnetic moment on the atom in μB.
Atoms (fractional coordinates):
Tb1 0.0000 0.0000 0.0000  0.02
Ce1 0.5000 0.5000 0.0000  0.74
Pm1 0.5000 0.0000 0.5000  0.00
Pm2 0.0000 0.5000 0.5000  0.02
Se1 0.5000 0.2438 0.2436  0.00
Se2 0.5000 0.7562 0.7564  0.00
Se3 0.0000 0.2467 0.7529  -0.01
Se4 0.0000 0.7533 0.2471  -0.01



> What is the formula in the first record?

HfSb2IF